Entry 1:
3
Lattice="-1.747 1.747 4.816 1.747 -1.747 4.816 1.747 1.747 -4.816" Properties=species:S:1:pos:R:3 comment="MgTaTe (meta-GGA SCAN, single point on PBEsol structure)" polymorph_energy_mev_per_atom=0 spacegroup="No. 107" pbc="T T T"
Mg 0.000 0.000 0.000
Ta 0.000 0.000 6.494
Te 0.000 0.000 3.067

Entry 2:
6
Lattice="0.000 4.336 4.336 4.336 0.000 4.336 4.336 4.336 0.000" Properties=species:S:1:pos:R:3 comment="MgTaTe4 (meta-GGA SCAN, single point on PBEsol structure)" spacegroup="No. 216" pbc="T T T"
Mg 0.000 0.000 0.000
Ta 6.504 6.504 6.504
Te 3.255 3.255 3.255
Te 5.417 5.417 3.255
Te 5.417 3.255 5.417
Te 3.255 5.417 5.417

Entry 3:
4
Lattice="0.000 3.545 3.545 3.545 0.000 3.545 3.545 3.545 0.000" Properties=species:S:1:pos:R:3 comment="MgTaTe2 (meta-GGA SCAN, single point on PBEsol structure)" spacegroup="No. 216" pbc="T T T"
Mg 0.000 0.000 0.000
Ta 5.318 5.318 5.318
Te 1.773 1.773 1.773
Te 3.545 3.545 3.545

Entry 4:
3
Lattice="0.000 2.509 7.151 1.856 0.000 7.151 1.856 2.509 0.000" Properties=species:S:1:pos:R:3 comment="MgTaTe (meta-GGA SCAN, single point on PBEsol structure)" polymorph_energy_mev_per_atom=270 spacegroup="No. 42" pbc="T T T"
Mg 0.000 0.000 0.000
Ta 1.856 2.509 4.973
Te 1.856 2.509 10.068

The following total moment values (in μB/atom) correspond, in order, to the records above: 0.00; 0.49; 0.65; 0.00.
The following energy relative to the elements, uncorrected values (in eV/atom) correspond, in order, to the records above: 0.037; 1.046; 0.688; 0.307.